A geometry-optimized MgB2CS structure. Source: Alexandria, functional PBEsol.

Output
energy relative to the elements, uncorrected = 2.71 eV/atom
Fermi-level density of states = 0.466 states/eV per atom
size of the total moment = 0.00 μB/cell
uncorrected energy = -3.24 eV/atom

a b c (Å): 4.024 4.376 4.376
angles (deg): 90.00 90.00 90.00
Sites, in units of the cell vectors:
C 0.500 0.000 0.000
B 0.000 0.500 0.000
B 0.000 0.000 0.500
Mg 0.000 0.000 0.000
S 0.500 0.500 0.500

---

A geometry-optimized Mg2BCSe structure. Source: Alexandria, functional PBEsol.

Output
energy relative to the elements, uncorrected = 1.66 eV/atom
Fermi-level density of states = 0.649 states/eV per atom
size of the total moment = 0.00 μB/cell
uncorrected energy = -3.13 eV/atom

a b c (Å): 3.848 4.970 4.970
angles (deg): 90.00 90.00 90.00
Sites, in units of the cell vectors:
C 0.500 0.000 0.000
B 0.500 0.500 0.500
Se 0.000 0.000 0.000
Mg 0.000 0.000 0.500
Mg 0.000 0.500 0.000

---

A geometry-optimized Mg3Si9B36C structure. Source: Alexandria, functional PBEsol.

Output
energy relative to the elements, uncorrected = -0.14 eV/atom
size of the total moment = 0.00 μB/cell
uncorrected energy = -6.65 eV/atom

a b c (Å): 7.969 7.969 7.969
angles (deg): 78.36 78.36 78.36
Sites, in units of the cell vectors:
B 0.410 0.826 0.110
B 0.126 0.126 0.556
B 0.580 0.179 0.892
B 0.018 0.018 0.276
B 0.981 0.624 0.800
B 0.826 0.410 0.110
B 0.023 0.203 0.372
B 0.179 0.892 0.580
B 0.203 0.023 0.372
B 0.110 0.826 0.410
B 0.879 0.879 0.434
B 0.800 0.981 0.624
B 0.879 0.434 0.879
B 0.826 0.110 0.410
B 0.410 0.110 0.826
B 0.624 0.981 0.800
B 0.203 0.372 0.023
B 0.126 0.556 0.126
B 0.624 0.800 0.981
B 0.018 0.276 0.018
B 0.892 0.179 0.580
B 0.892 0.580 0.179
B 0.994 0.703 0.994
B 0.023 0.372 0.203
B 0.372 0.023 0.203
B 0.179 0.580 0.892
B 0.580 0.892 0.179
B 0.276 0.018 0.018
B 0.434 0.879 0.879
B 0.556 0.126 0.126
B 0.800 0.624 0.981
B 0.994 0.994 0.703
B 0.703 0.994 0.994
B 0.110 0.410 0.826
B 0.372 0.203 0.023
B 0.981 0.800 0.624
Si 0.655 0.263 0.263
Si 0.431 0.431 0.431
Si 0.739 0.342 0.739
Si 0.739 0.739 0.342
Si 0.263 0.655 0.263
Si 0.342 0.739 0.739
Si 0.575 0.575 0.575
Si 0.956 0.956 0.956
Si 0.263 0.263 0.655
Mg 0.999 0.498 0.498
Mg 0.498 0.498 0.999
Mg 0.498 0.999 0.498
C 0.067 0.067 0.067